Entry from the Alexandria database: MnPdF2 after structural relaxation (PBE+U).

Calculated values
**Total magnetic moment**: 9.8 μB per cell
**ρ**: 4.5 g/cm3
**E_tot**: -5.286 eV/atom

Lattice parameters (Å, degrees): 6.3348 6.3348 6.3348 129.96 129.96 73.48
Last column: nearest neighbours and their distance in Å.
Atoms (fractional coordinates):
Mn: 0.0000 0.0000 0.0000  4 F 2.03
Mn: 0.7500 0.2500 0.5000  4 F 2.03
Pd: 0.2500 0.7500 0.5000  4 F 2.60
Pd: 0.5000 0.5000 0.0000  4 F 2.60
F: 0.0324 0.6250 0.9074  2 Mn 2.03
F: 0.3750 0.2824 0.4074  2 Mn 2.03
F: 0.7176 0.1250 0.0926  2 Mn 2.03
F: 0.8750 0.9676 0.5926  2 Mn 2.03